VASP calculation (PBE) on crystalline Pm2PrSm3Ho6 at its relaxed geometry.

a = 6.226 Å, b = 6.226 Å, c = 11.798 Å
α = 95.03°, β = 95.03°, γ = 119.98°
Fractional positions:
Pm 0.167 0.833 0.000
Pm 0.833 0.167 0.000
Pr 0.500 0.500 0.000
Sm 0.000 0.000 0.500
Sm 0.333 0.667 0.500
Sm 0.667 0.333 0.500
Ho 0.082 0.416 0.749
Ho 0.250 0.250 0.251
Ho 0.416 0.082 0.749
Ho 0.584 0.918 0.251
Ho 0.750 0.750 0.749
Ho 0.918 0.584 0.251

Symmetry ... No. 12
DFT formation energy ... 0.014 eV per atom